The following is a PBE calculation of Pm2Nd6Ho3 after structural relaxation, from Alexandria via LeMat-Bulk.

Cell lengths 4.7890, 4.7890, 34.2052 Å; angles 90.00, 90.00, 90.00 degrees
Space group I4/mmm (No. 139)
Asymmetric unit:
Pm: 0.0000 0.0000 0.0450 [4 per cell]
Nd: 0.0000 0.0000 0.2044 [4 per cell]
Nd: 0.0000 0.5000 0.1214 [8 per cell]
Ho: 0.0000 0.0000 0.3046 [4 per cell]
Ho: 0.0000 0.0000 0.5000 [2 per cell]

Results
The value obtained for the formation energy is 0.285 eV per atom. For the calculated density, the calculation gives 7.0 Mg/m³. As for the size of the total moment: 0.00 μB per formula unit. The total DFT energy (no corrections) is -0.1627 hartree per atom.